The following is a PBE calculation of Hf8NbPb2 after structural relaxation, from the Alexandria database.

a = 7.9063 Å, b = 7.9063 Å, c = 5.3111 Å
α = 102.17°, β = 102.17°, γ = 121.61°
Sites, in units of the cell vectors:
1 Hf 0.1032 0.3143 0.6609
2 Hf 0.2029 0.7971 0.0000
3 Hf 0.3143 0.1032 0.6609
4 Hf 0.3942 0.3942 0.2015
5 Hf 0.6058 0.6058 0.7985
6 Hf 0.6857 0.8968 0.3391
7 Hf 0.7971 0.2029 0.0000
8 Hf 0.8968 0.6857 0.3391
9 Nb 0.0000 0.0000 0.0000
10 Pb 0.3023 0.6977 0.5000
11 Pb 0.6977 0.3023 0.5000

The formation energy comes out at 0.17 eV/atom. The value obtained for the calculated total energy is -95.2 eV/cell.